(1)
VASP calculation (PBE-GGA) on an optimized crystal structure of CsSrAcI6.

## Properties
- magnetic moment (μB per formula unit) = 0.0
- total DFT energy (no corrections) (eV per atom) = -3.388
- Fermi-level density of states (states/eV/cell) = 0.0
- energy relative to the elements, uncorrected (eV/atom) = -1.617
- symmetry = P-31c, No. 163

Cell and atoms, written as POSCAR:
```
CsSrAcI6
1.0
8.585 0.000 0.000
-4.292 7.435 0.000
0.000 0.000 16.570
I Sr Ac Cs
12 2 2 2
direct
0.622 0.625 0.635 I
0.625 0.622 0.135 I
0.622 0.998 0.865 I
0.625 0.002 0.365 I
0.378 0.375 0.365 I
0.002 0.378 0.635 I
0.002 0.625 0.865 I
0.998 0.622 0.365 I
0.378 0.002 0.135 I
0.998 0.375 0.135 I
0.375 0.998 0.635 I
0.375 0.378 0.865 I
0.667 0.333 0.750 Sr
0.333 0.667 0.250 Sr
0.667 0.333 0.250 Ac
0.333 0.667 0.750 Ac
0.000 0.000 0.000 Cs
0.000 0.000 0.500 Cs
```

(2)
VASP calculation (PBE-GGA) on an optimized crystal structure of KSr2CuRu.

## Properties
- magnetic moment (μB per formula unit) = 1.0
- total DFT energy (no corrections) (eV per atom) = -2.035
- Fermi-level density of states (states/eV/cell) = 5.3
- symmetry = P4/mmm, No. 123
- ΔH_f (0 K) (meV/atom) = 1531

Cell and atoms, written as POSCAR:
```
KSr2CuRu
1.0
5.999 0.000 0.000
0.000 4.726 0.000
0.000 0.000 5.999
Sr K Ru Cu
2 1 1 1
direct
0.500 0.000 0.000 Sr
0.000 0.000 0.500 Sr
0.000 0.000 0.000 K
0.500 0.500 0.500 Ru
0.000 0.500 0.000 Cu
```

(3)
VASP calculation (PBE-GGA) on an optimized crystal structure of Dy4InPdRh2.

## Properties
- magnetic moment (μB per formula unit) = 0.0
- total DFT energy (no corrections) (eV per atom) = -5.852
- Fermi-level density of states (states/eV/cell) = 5.8
- symmetry = R-3m, No. 166
- ΔH_f (0 K) (meV/atom) = -721

Cell and atoms, written as POSCAR:
```
Dy4InPdRh2
1.0
-2.889 1.875 -3.621
-4.777 1.125 0.945
-0.351 8.552 1.261
Rh Dy Pd In
2 4 1 1
direct
0.748 0.748 0.756 Rh
0.252 0.252 0.244 Rh
0.381 0.381 0.857 Dy
0.619 0.619 0.143 Dy
0.870 0.870 0.389 Dy
0.130 0.130 0.611 Dy
0.500 0.500 0.500 Pd
0.000 0.000 0.000 In
```

(4)
VASP calculation (PBE-GGA) on an optimized crystal structure of SrMg4.

## Properties
- magnetic moment (μB per formula unit) = 0.0
- energy above the lowest structure with this stoichiometry (meV/atom) = 679
- total DFT energy (no corrections) (eV per atom) = -0.940
- Fermi-level density of states (states/eV/cell) = 3.4
- symmetry = Im-3m, No. 229
- ΔH_f (0 K) (meV/atom) = 672

Cell and atoms, written as POSCAR:
```
SrMg4
1.0
6.191 0.621 2.222
-4.195 0.124 5.103
-0.619 -5.736 -3.221
Sr Mg
1 4
direct
0.000 0.000 0.000 Sr
0.500 0.000 0.000 Mg
0.000 0.000 0.500 Mg
0.000 0.500 0.000 Mg
0.500 0.500 0.500 Mg
```